Entry from Alexandria via LeMat-Bulk: a geometry-optimized Dy6HgPd12 structure (PBE).

Structure (POSCAR):
```
Dy6HgPd12
1.0
5.471 3.159 3.679
-5.471 3.159 3.679
0.000 -6.318 3.679
Dy Hg Pd
6 1 12
Direct
0.186 0.332 0.743
0.257 0.814 0.668
0.332 0.743 0.186
0.668 0.257 0.814
0.743 0.186 0.332
0.814 0.668 0.257
0.500 0.500 0.500
0.003 0.285 0.045
0.045 0.003 0.285
0.125 0.455 0.385
0.285 0.045 0.003
0.385 0.125 0.455
0.455 0.385 0.125
0.545 0.615 0.875
0.615 0.875 0.545
0.715 0.955 0.997
0.875 0.545 0.615
0.955 0.997 0.715
0.997 0.715 0.955
```

## Properties
ΔE_f: -0.7132 eV per atom
Symmetry: R-3

Entry from Alexandria via LeMat-Bulk: a geometry-optimized CaTe2Cl structure (PBE).

Structure (POSCAR):
```
CaTe2Cl
1.0
1.873 1.081 9.594
-1.873 1.081 9.594
0.000 -2.162 9.594
Ca Te Cl
1 2 1
Direct
0.000 0.000 0.000
0.251 0.251 0.251
0.749 0.749 0.749
0.500 0.500 0.500
```

## Properties
Symmetry: R-3m
DFT total energy: -11.53 eV for the cell shown

Entry from Alexandria via LeMat-Bulk: a geometry-optimized CaPt2CI structure (PBE).

Structure (POSCAR):
```
CaPt2CI
1.0
4.072 0.000 0.000
0.000 4.072 0.000
0.000 0.000 6.652
Ca Pt C I
1 2 1 1
Direct
0.000 0.000 0.000
0.000 0.500 0.500
0.500 0.000 0.500
0.500 0.500 0.500
0.500 0.500 0.000
```

## Properties
Symmetry: P4/mmm
DFT total energy: -25.20 eV for the cell shown

no.,M_tot (μB/f.u.)
1,0.00
2,0.00
3,0.00